## Mg2ScRu (PBE)

Data for a relaxed Mg2ScRu crystal.

Summary:
N(E_F) in states/eV/f.u.: 3.1
ΔH_f (0 K) in eV/atom: -0.035

Cell: 3.0348 4.7647 5.3300 Å, 90.00 105.19 90.00°
Fractional positions:
1 Mg 0.1771 0.0000 0.2732
2 Mg 0.8229 0.0000 0.7268
3 Sc 0.5000 0.5000 0.0000
4 Ru 0.0000 0.5000 0.5000